1.
A geometry-optimized BaYSi structure, computed with PBE-GGA.

Unit cell a=5.2508 b=5.2508 c=5.2508 alpha=60.00 beta=60.00 gamma=60.00
Positions (direct):
Ba 0.5000 0.5000 0.5000
Si 0.7500 0.7500 0.7500
Y 0.0000 0.0000 0.0000

Summary:
The density comes out at 4.1 g/cm³. Its space-group type is F-43m, No. 216. The total moment is 0.000 μB/cell. Its energy is -4.754 eV/atom.

---

2.
A geometry-optimized TlVCuTc2 structure, computed with PBE-GGA.

Unit cell a=4.9789 b=4.5301 c=4.9789 alpha=90.00 beta=90.00 gamma=90.00
Site moments in Bohr magnetons follow the coordinates.
Positions (direct):
Tl 0.0000 0.0000 0.0000  -0.04
Tc 0.0000 0.0000 0.5000  1.06
Tc 0.5000 0.0000 0.0000  0.75
Cu 0.0000 0.5000 0.0000  0.01
V 0.5000 0.5000 0.5000  0.49

Summary:
The density comes out at 7.6 g/cm³. Its space-group type is P4/mmm, No. 123. The total moment is 2.367 μB/cell. Its energy is -4.856 eV/atom.

---

3.
A geometry-optimized Tb2Pm2Y2In structure, computed with PBE-GGA.

Unit cell a=6.0623 b=3.6049 c=12.7282 alpha=98.20 beta=93.91 gamma=126.48
Positions (direct):
Tb 0.5653 0.1305 0.6303
Tb 0.4347 0.8695 0.3697
Pm 0.7111 0.4220 0.9217
Pm 0.2889 0.5780 0.0783
Y 0.8604 0.7203 0.2209
Y 0.1396 0.2797 0.7791
In 0.0000 0.0000 0.5000

Summary:
The density comes out at 6.9 g/cm³. Its space-group type is P-1, No. 2. The total moment is 0.000 μB/cell. Its energy is -5.025 eV/atom.